First-principles (GGA-PBE) data for a relaxed structure of Pr2Cu2I, as listed in OQMD.

total energy	-4.265	eV per atom
size of the total moment	0.0021	μB/atom

Structure (POSCAR):
```
Pr2Cu2I
1.0
4.224 0.000 0.000
-2.112 3.658 0.000
0.000 0.000 8.636
Pr Cu I
2 2 1
Direct
0.000 0.000 0.212
0.000 0.000 0.788
0.333 0.667 0.000
0.667 0.333 0.000
0.667 0.333 0.500
```